(1)
The following is a DFT calculation (GGA-PBE) of a relaxed Tl6Te2Br2Cl crystal.

Lattice parameters (Å, degrees): 8.2140 8.2140 8.2976 99.28 99.28 120.99
With the nearest neighbours (Å) after each atom.
Atoms (fractional coordinates):
1 Tl 0.0658 0.4218 0.7366  2 Te 3.19-3.29, 2 Br 3.30-3.39, 1 Cl 3.42
2 Tl 0.2276 0.2276 0.2732  1 Cl 3.03, 2 Te 3.36
3 Tl 0.4218 0.0658 0.7366  2 Te 3.19-3.29, 2 Br 3.30-3.39, 1 Cl 3.42
4 Tl 0.5782 0.9342 0.2634  2 Te 3.19-3.29, 2 Br 3.30-3.39, 1 Cl 3.42
5 Tl 0.7724 0.7724 0.7268  1 Cl 3.03, 2 Te 3.36
6 Tl 0.9342 0.5782 0.2634  2 Te 3.19-3.29, 2 Br 3.30-3.39, 1 Cl 3.42
7 Te 0.3340 0.6660 0.5000  6 Tl 3.19-3.36
8 Te 0.6660 0.3340 0.5000  6 Tl 3.19-3.36
9 Br 0.1688 0.8312 0.0000  6 Tl 3.30-3.41
10 Br 0.8312 0.1688 0.0000  6 Tl 3.30-3.41
11 Cl 0.0000 0.0000 0.5000  2 Tl 3.03

Calculated values
The calculation puts the formation energy from raw total energies at -5.94 eV/f.u. For the total magnetization, the calculation gives 0.00 μB per cell. The volume comes out at 41.22 Å³/atom. As for the total energy: -2.874 eV/atom.

---

(2)
The following is a DFT calculation (GGA-PBE) of a relaxed LiHgBr2 crystal.

Lattice parameters (Å, degrees): 7.5009 7.5009 7.5009 31.70 31.70 31.70
With the nearest neighbours (Å) after each atom.
Atoms (fractional coordinates):
1 Li 0.0000 0.0000 0.0000  6 Br 2.78
2 Hg 0.5000 0.5000 0.5000  6 Br 3.17
3 Br 0.2654 0.2654 0.2654  3 Li 2.78
4 Br 0.7346 0.7346 0.7346  3 Li 2.78

Calculated values
The calculation puts the formation energy from raw total energies at -2.97 eV/f.u. For the total magnetization, the calculation gives 0.00 μB per cell. The value obtained for the energy above the lowest structure with this stoichiometry is 0.0566 eV per atom. The volume comes out at 25.88 Å³/atom. As for the total energy: -2.134 eV/atom.